# 1
Here is Bi2SbN after structural relaxation from Alexandria via LeMat-Bulk. Energies are from PBE.

Computed properties:
The value obtained for the energy above the most stable polymorph in this dataset is 0.000 eV per atom. Its symmetry is I-42d. The calculation puts the theoretical density at 7.58 g/cm³.

Unit cell a=6.204 b=6.204 c=7.682 alpha=66.18 beta=66.18 gamma=90.00
Positions (direct):
Sb 0.000 0.000 0.000
Sb 0.750 0.250 0.500
Bi 0.526 0.125 0.250
Bi 0.224 0.625 0.250
Bi 0.375 0.474 0.750
Bi 0.875 0.776 0.750
N 0.500 0.500 0.000
N 0.250 0.750 0.500

# 2
Here is RbBe2NiAu after structural relaxation from Alexandria via LeMat-Bulk. Energies are from PBE.

Computed properties:
As for the formation energy: 0.850 eV per atom. Its symmetry is P4/mmm. The calculation puts the theoretical density at 5.40 g/cm³.

Unit cell a=4.345 b=5.851 c=4.345 alpha=90.00 beta=90.00 gamma=90.00
Positions (direct):
Ni 0.000 0.000 0.000
Au 0.500 0.500 0.500
Rb 0.000 0.500 0.000
Be 0.000 0.000 0.500
Be 0.500 0.000 0.000

# 3
Here is In4CuAg2 after structural relaxation from Alexandria via LeMat-Bulk. Energies are from PBE.

Computed properties:
As for the formation energy: 0.006 eV per atom. Its symmetry is C2/m. The calculation puts the theoretical density at 7.93 g/cm³.

Unit cell a=4.385 b=5.818 c=6.827 alpha=109.25 beta=108.73 gamma=90.00
Positions (direct):
Ag 0.214 0.326 0.428
Ag 0.786 0.674 0.572
Cu 0.000 0.000 0.000
In 0.158 0.793 0.316
In 0.842 0.207 0.684
In 0.447 0.699 0.895
In 0.553 0.301 0.105

# 4
Here is CoHg2Pb2 after structural relaxation from Alexandria via LeMat-Bulk. Energies are from PBE.

Computed properties:
As for the formation energy: 0.778 eV per atom. Its symmetry is I4/mmm. The calculation puts the theoretical density at 10.04 g/cm³.

Unit cell a=8.191 b=8.191 c=8.191 alpha=149.08 beta=149.08 gamma=44.29
Positions (direct):
Co 0.000 0.000 0.000
Hg 0.590 0.590 0.000
Hg 0.410 0.410 0.000
Pb 0.250 0.750 0.500
Pb 0.750 0.250 0.500